Material: Tc2Te2Br
Method: DFT, PBE-GGA
State: optimized geometry

Properties
- E above lowest polymorph: 413 meV/atom
- Spin magnetization: 0.000 μB per atom
- N(E_F): 1.219 states/eV/atom
- Total DFT energy (no corrections): -5.36 eV per atom

abc: 7.894 7.894 3.264
angles: 90.00 90.00 90.00
Atoms (fractional coordinates):
Te  0.646  0.854  0.500
Tc  0.865  0.635  0.000
Br  0.000  0.000  0.000
Te  0.354  0.146  0.500
Tc  0.635  0.135  0.000
Tc  0.365  0.865  0.000
Br  0.500  0.500  0.000
Tc  0.135  0.365  0.000
Te  0.146  0.646  0.500
Te  0.854  0.354  0.500

---

Material: TcTeBr2
Method: DFT, PBE-GGA
State: optimized geometry

Properties
- E above lowest polymorph: 409 meV/atom
- Spin magnetization: 0.558 μB per atom
- N(E_F): 1.048 states/eV/atom
- Total DFT energy (no corrections): -3.86 eV per atom

abc: 3.508 3.508 11.566
angles: 90.00 90.00 125.95
Last column: magnetic moment on the atom in μB.
Atoms (fractional coordinates):
Te  0.500  0.500  0.750  -0.05
Tc  0.500  0.500  0.250  1.94
Br  0.000  0.000  0.421  0.05
Br  0.000  0.000  0.079  0.05

---

Material: Tc2TeBr
Method: DFT, PBE-GGA
State: optimized geometry

Properties
- E above lowest polymorph: 281 meV/atom
- Spin magnetization: 0.000 μB per atom
- N(E_F): 0.921 states/eV/atom
- Total DFT energy (no corrections): -5.94 eV per atom

abc: 9.164 9.164 9.164
angles: 160.66 159.56 28.28
Atoms (fractional coordinates):
Tc  0.068  0.068  0.000
Te  0.480  0.480  0.000
Tc  0.185  0.685  0.500
Br  0.767  0.267  0.500

---

Material: TcTe2Br
Method: DFT, PBE-GGA
State: optimized geometry

Properties
- E above lowest polymorph: 0 meV/atom
- Spin magnetization: 0.000 μB per atom
- N(E_F): 0.430 states/eV/atom
- Total DFT energy (no corrections): -4.77 eV per atom

abc: 3.484 6.492 9.740
angles: 71.19 90.00 90.00
Atoms (fractional coordinates):
Te  0.250  0.166  0.784
Te  0.250  0.362  0.147
Te  0.750  0.638  0.853
Tc  0.750  0.193  0.985
Br  0.250  0.707  0.586
Te  0.750  0.834  0.216
Tc  0.250  0.807  0.015
Br  0.750  0.293  0.414

---

Material: Tc2TeBr
Method: DFT, PBE-GGA
State: optimized geometry

Properties
- E above lowest polymorph: 529 meV/atom
- Spin magnetization: 0.000 μB per atom
- N(E_F): 0.979 states/eV/atom
- Total DFT energy (no corrections): -5.69 eV per atom

abc: 4.607 4.607 4.607
angles: 60.00 60.00 60.00
Atoms (fractional coordinates):
Te  0.500  0.500  0.500
Br  0.000  0.000  0.000
Tc  0.250  0.250  0.250
Tc  0.750  0.750  0.750

---

Material: TcTe2Br
Method: DFT, PBE-GGA
State: optimized geometry

Properties
- E above lowest polymorph: 786 meV/atom
- Spin magnetization: 0.291 μB per atom
- N(E_F): 0.998 states/eV/atom
- Total DFT energy (no corrections): -3.98 eV per atom

abc: 12.765 12.765 12.765
angles: 14.04 14.04 14.04
Last column: magnetic moment on the atom in μB.
Atoms (fractional coordinates):
Br  0.500  0.500  0.500  0.00
Te  0.931  0.931  0.931  -0.02
Tc  0.000  0.000  0.000  1.00
Te  0.069  0.069  0.069  -0.02

---

Material: TcTe2Br
Method: DFT, PBE-GGA
State: optimized geometry

Properties
- E above lowest polymorph: 811 meV/atom
- Spin magnetization: 0.426 μB per atom
- N(E_F): 0.786 states/eV/atom
- Total DFT energy (no corrections): -3.96 eV per atom

abc: 5.041 5.041 5.041
angles: 60.00 60.00 60.00
Last column: magnetic moment on the atom in μB.
Atoms (fractional coordinates):
Te  0.250  0.250  0.250  -0.09
Te  0.750  0.750  0.750  -0.09
Tc  0.500  0.500  0.500  1.70
Br  0.000  0.000  0.000  0.07

---

Material: TcTe2WBr
Method: DFT, PBE-GGA
State: optimized geometry

Properties
- Spin magnetization: 0.744 μB per atom
- N(E_F): 0.839 states/eV/atom
- Total DFT energy (no corrections): -5.25 eV per atom

abc: 5.218 5.255 5.218
angles: 90.00 90.00 90.00
Last column: magnetic moment on the atom in μB.
Atoms (fractional coordinates):
Te  0.000  0.000  0.500  0.04
W  0.000  0.000  0.000  -0.24
Br  0.500  0.500  0.500  0.10
Te  0.500  0.000  0.000  0.09
Tc  0.000  0.500  0.000  3.10